Computed, not measured: a geometry-optimized TaFePd6 structure at the GGA-PBE level of DFT.

Cell lengths 5.5733, 5.5733, 3.9173 Å; angles 90.00, 90.00, 90.00 degrees
With the nearest neighbours (Å) after each atom.
Positions (direct):
Ta 0.0000 0.0000 0.0000  12 Pd 2.77-2.79
Fe 0.5000 0.5000 0.0000  12 Pd 2.78-2.79
Pd 0.0000 0.5000 0.0000  8 Pd 2.78, 2 Ta 2.79, 2 Fe 2.79
Pd 0.2491 0.2491 0.5000  2 Ta 2.77, 8 Pd 2.78-2.80, 2 Fe 2.78
Pd 0.2491 0.7509 0.5000  2 Ta 2.77, 8 Pd 2.78-2.80, 2 Fe 2.78
Pd 0.5000 0.0000 0.0000  8 Pd 2.78, 2 Ta 2.79, 2 Fe 2.79
Pd 0.7509 0.2491 0.5000  2 Ta 2.77, 8 Pd 2.78-2.80, 2 Fe 2.78
Pd 0.7509 0.7509 0.5000  2 Ta 2.77, 8 Pd 2.78-2.80, 2 Fe 2.78

Calculated values
ΔE_f: -2.464 eV per formula unit
Total moment: 4.34 μB/f.u.
Density: 11945 kg/m3
V: 15.210 A^3/atom

---

Computed, not measured: a geometry-optimized MgFe4Hg structure at the GGA-PBE level of DFT.

Cell lengths 4.9711, 4.9711, 4.9711 Å; angles 60.00, 60.00, 60.00 degrees
With the nearest neighbours (Å) after each atom.
Positions (direct):
Mg 0.0000 0.0000 0.0000  12 Fe 2.91, 4 Hg 3.04
Fe 0.1213 0.6262 0.6262  6 Fe 2.46-2.51
Fe 0.6262 0.1213 0.6262  6 Fe 2.46-2.51
Fe 0.6262 0.6262 0.1213  6 Fe 2.46-2.51
Fe 0.6262 0.6262 0.6262  6 Fe 2.46-2.51
Hg 0.2500 0.2500 0.2500  12 Fe 2.92, 4 Mg 3.04

Calculated values
ΔE_f: 1.102 eV per formula unit
Total moment: 9.89 μB/f.u.
Density: 8569 kg/m3
V: 14.478 A^3/atom

---

Computed, not measured: a geometry-optimized AlSbMo2 structure at the GGA-PBE level of DFT.

Cell lengths 5.0412, 5.0412, 4.6759 Å; angles 106.46, 106.46, 36.93 degrees
With the nearest neighbours (Å) after each atom.
Positions (direct):
Al 0.0000 0.0000 0.0000  7 Mo 2.73-2.87, 2 Sb 3.03
Sb 0.2328 0.2328 0.6587  7 Mo 2.77-2.85, 2 Al 3.03
Mo 0.4844 0.4844 0.4819  3 Sb 2.77-2.78, 4 Al 2.80-2.87, 2 Mo 2.84
Mo 0.7427 0.7427 0.1591  3 Al 2.73-2.77, 4 Sb 2.81-2.85, 2 Mo 2.84

Calculated values
E_form (uncorrected): 116 meV per atom
Total moment: 0.00 μB/f.u.
Density: 8301 kg/m3
V: 17.035 A^3/atom

---

Computed, not measured: a geometry-optimized PdRh2Cl structure at the GGA-PBE level of DFT.

Cell lengths 4.4425, 4.4425, 4.4425 Å; angles 60.00, 60.00, 60.00 degrees
With the nearest neighbours (Å) after each atom.
Positions (direct):
Pd 0.0000 0.0000 0.0000  8 Rh 2.72
Rh 0.2500 0.2500 0.2500  4 Cl 2.72, 4 Pd 2.72
Rh 0.7500 0.7500 0.7500  4 Cl 2.72, 4 Pd 2.72
Cl 0.5000 0.5000 0.5000  8 Rh 2.72

Calculated values
E_form (uncorrected): 640 meV per atom
Total moment: 2.46 μB/f.u.
Density: 9313 kg/m3
V: 15.499 A^3/atom